1.
VASP calculation (PBE) on a relaxed structure of Ac8GaGe3Te4.

Summary:
**Size of the total moment**: 0.0 μB per formula unit
**E_tot**: -80.3 eV per cell
**Energy relative to the elements, uncorrected**: -18.02 eV per formula unit

```
Ac8GaGe3Te4
1.0
4.655 2.688 7.829
-4.655 2.688 7.829
0.000 -5.375 7.829
Ac Ga Ge Te
8 1 3 4
direct
0.239 0.745 0.745 Ac
0.241 0.241 0.241 Ac
0.255 0.255 0.761 Ac
0.255 0.761 0.255 Ac
0.745 0.239 0.745 Ac
0.745 0.745 0.239 Ac
0.759 0.759 0.759 Ac
0.761 0.255 0.255 Ac
0.500 0.500 0.500 Ga
0.000 0.000 0.500 Ge
0.000 0.500 0.000 Ge
0.500 0.000 0.000 Ge
0.000 0.000 0.000 Te
0.000 0.500 0.500 Te
0.500 0.000 0.500 Te
0.500 0.500 0.000 Te
```

2.
VASP calculation (PBE) on a relaxed structure of SrTl2Cu.

Summary:
**Size of the total moment**: 0.0 μB per formula unit
**E_tot**: -10.1 eV per cell
**Energy relative to the elements**: 0.108 eV per atom

```
SrTl2Cu
1.0
3.214 -5.907 0.000
3.214 5.907 0.000
-2.531 0.000 3.201
Sr Tl Cu
1 2 1
direct
0.000 0.000 0.000 Sr
0.000 0.500 0.500 Tl
0.500 0.000 0.500 Tl
0.500 0.500 0.000 Cu
```